Record 1
## AgHg4Pd3 (PBE)

Data for AgHg4Pd3 after structural relaxation.

Unit cell a=7.856 b=7.856 c=7.856 alpha=157.74 beta=119.91 gamma=64.90
Positions (direct):
1 Ag 0.000 0.000 0.000
2 Hg 0.157 0.864 0.293
3 Hg 0.429 0.136 0.293
4 Hg 0.571 0.864 0.707
5 Hg 0.843 0.136 0.707
6 Pd 0.186 0.686 0.500
7 Pd 0.500 0.500 0.000
8 Pd 0.814 0.314 0.500

## Properties
Formation energy   -0.068 eV/atom
E above lowest polymorph   1.9 kJ/mol of atoms
Raw total energy   -2.522 eV/atom


Record 2
## Y2HoZn2 (PBE)

Data for Y2HoZn2 after structural relaxation.

Unit cell a=3.614 b=5.145 c=13.332 alpha=90.00 beta=97.80 gamma=90.00
Positions (direct):
1 Y 0.046 0.250 0.092
2 Y 0.232 0.250 0.464
3 Y 0.768 0.750 0.536
4 Y 0.954 0.750 0.908
5 Ho 0.144 0.750 0.287
6 Ho 0.856 0.250 0.713
7 Zn 0.360 0.750 0.720
8 Zn 0.451 0.250 0.901
9 Zn 0.549 0.750 0.099
10 Zn 0.640 0.250 0.280

## Properties
Formation energy   -0.275 eV/atom
E above lowest polymorph   0.0 kJ/mol of atoms
Raw total energy   -4.286 eV/atom


Record 3
## ScTc3C (PBE)

Data for ScTc3C after structural relaxation.

Unit cell a=4.582 b=4.582 c=4.582 alpha=90.00 beta=90.00 gamma=90.00
Positions (direct):
1 Sc 0.000 0.000 0.000
2 Tc 0.000 0.000 0.500
3 Tc 0.000 0.500 0.000
4 Tc 0.500 0.000 0.000
5 C 0.500 0.500 0.500

## Properties
Formation energy   3.168 eV/atom
E above lowest polymorph   312.7 kJ/mol of atoms
Raw total energy   -6.162 eV/atom


Record 4
## Ac3Zn2BiO9 (PBE)

Data for Ac3Zn2BiO9 after structural relaxation.

Unit cell a=5.837 b=5.837 c=7.307 alpha=90.00 beta=90.00 gamma=120.00
Positions (direct):
1 Ac 0.000 0.000 0.000
2 Ac 0.333 0.667 0.731
3 Ac 0.667 0.333 0.269
4 Zn 0.333 0.667 0.171
5 Zn 0.667 0.333 0.829
6 Bi 0.000 0.000 0.500
7 O 0.000 0.500 0.000
8 O 0.162 0.324 0.317
9 O 0.162 0.838 0.317
10 O 0.324 0.162 0.683
11 O 0.500 0.000 0.000
12 O 0.500 0.500 0.000
13 O 0.676 0.838 0.317
14 O 0.838 0.162 0.683
15 O 0.838 0.676 0.683

## Properties
Raw formation energy   -2.19 eV per atom
Raw total energy   -6.412 eV/atom


Record 5
## Mg2NbHF (PBE)

Data for Mg2NbHF after structural relaxation.

Unit cell a=3.943 b=3.943 c=4.908 alpha=90.00 beta=90.00 gamma=90.00
Positions (direct):
1 Mg 0.000 0.500 0.000
2 Mg 0.500 0.000 0.000
3 Nb 0.000 0.000 0.500
4 H 0.500 0.500 0.500
5 F 0.500 0.500 0.000

## Properties
Raw total energy   -3.730 eV/atom


Record 6
## Sc2PRh (PBE)

Data for Sc2PRh after structural relaxation.

Unit cell a=8.142 b=8.142 c=8.142 alpha=24.64 beta=24.64 gamma=24.64
Positions (direct):
1 Sc 0.100 0.100 0.100
2 Sc 0.900 0.900 0.900
3 P 0.500 0.500 0.500
4 Rh 0.000 0.000 0.000

## Properties
Formation energy   -0.490 eV/atom
Raw total energy   -6.846 eV/atom


Record 7
## K2HgGeTe4 (PBE)

Data for K2HgGeTe4 after structural relaxation.

Unit cell a=9.173 b=9.173 c=7.900 alpha=110.84 beta=110.84 gamma=95.39
Positions (direct):
1 K 0.000 0.000 0.000
2 K 0.000 0.000 0.500
3 K 0.000 0.500 0.000
4 K 0.500 0.000 0.500
5 Hg 0.000 0.500 0.500
6 Hg 0.500 0.000 0.000
7 Ge 0.500 0.500 0.000
8 Ge 0.500 0.500 0.500
9 Te 0.240 0.705 0.497
10 Te 0.295 0.760 0.003
11 Te 0.303 0.304 0.085
12 Te 0.304 0.303 0.585
13 Te 0.696 0.697 0.415
14 Te 0.697 0.696 0.915
15 Te 0.705 0.240 0.997
16 Te 0.760 0.295 0.503

## Properties
Raw formation energy   -0.31 eV per atom
Raw total energy   -2.771 eV/atom


Record 8
## Pm3Pr2Er3 (PBE)

Data for Pm3Pr2Er3 after structural relaxation.

Unit cell a=5.804 b=14.682 c=6.329 alpha=90.00 beta=90.07 gamma=90.00
Positions (direct):
1 Pm 0.249 0.124 0.335
2 Pm 0.249 0.376 0.335
3 Pm 0.251 0.750 0.832
4 Pm 0.749 0.250 0.168
5 Pm 0.751 0.624 0.665
6 Pm 0.751 0.876 0.665
7 Pr 0.250 0.624 0.329
8 Pr 0.250 0.876 0.329
9 Pr 0.750 0.124 0.671
10 Pr 0.750 0.376 0.671
11 Er 0.250 0.000 0.835
12 Er 0.250 0.250 0.838
13 Er 0.250 0.500 0.835
14 Er 0.750 0.000 0.165
15 Er 0.750 0.500 0.165
16 Er 0.750 0.750 0.162

## Properties
Formation energy   0.026 eV/atom
E above lowest polymorph   0.6 kJ/mol of atoms
Raw total energy   -4.661 eV/atom


Record 9
## BCSe2Br (PBE)

Data for BCSe2Br after structural relaxation.

Unit cell a=4.475 b=4.475 c=4.507 alpha=90.00 beta=90.00 gamma=90.00
Positions (direct):
1 B 0.000 0.000 0.000
2 C 0.500 0.500 0.500
3 Se 0.000 0.500 0.000
4 Se 0.500 0.000 0.000
5 Br 0.000 0.000 0.500

## Properties
Raw formation energy   1.96 eV per atom
E above lowest polymorph   18.0 kJ/mol of atoms
Raw total energy   -2.952 eV/atom


Record 10
## TbEr2Te3 (PBE)

Data for TbEr2Te3 after structural relaxation.

Unit cell a=8.782 b=8.782 c=8.782 alpha=48.51 beta=48.51 gamma=48.51
Positions (direct):
1 Tb 0.000 0.000 0.000
2 Tb 0.500 0.500 0.500
3 Er 0.166 0.166 0.166
4 Er 0.334 0.334 0.334
5 Er 0.666 0.666 0.666
6 Er 0.834 0.834 0.834
7 Te 0.080 0.750 0.420
8 Te 0.250 0.580 0.920
9 Te 0.420 0.080 0.750
10 Te 0.580 0.920 0.250
11 Te 0.750 0.420 0.080
12 Te 0.920 0.250 0.580

## Properties
Raw formation energy   -1.27 eV per atom
E above lowest polymorph   0.0 kJ/mol of atoms
Raw total energy   -5.130 eV/atom


Record 11
## Y4Ho2Tl3H2 (PBE)

Data for Y4Ho2Tl3H2 after structural relaxation.

Unit cell a=12.685 b=12.685 c=12.685 alpha=158.45 beta=158.45 gamma=30.66
Positions (direct):
1 Y 0.085 0.585 0.500
2 Y 0.415 0.915 0.500
3 Y 0.585 0.085 0.500
4 Y 0.915 0.415 0.500
5 Ho 0.198 0.198 0.000
6 Ho 0.802 0.802 0.000
7 Tl 0.325 0.325 0.000
8 Tl 0.500 0.500 0.000
9 Tl 0.675 0.675 0.000
10 H 0.103 0.103 0.000
11 H 0.897 0.897 0.000

## Properties
Raw total energy   -4.724 eV/atom


Record 12
## NaNdPt2 (PBE)

Data for NaNdPt2 after structural relaxation.

Unit cell a=4.507 b=4.507 c=4.010 alpha=90.00 beta=90.00 gamma=90.00
Positions (direct):
1 Na 0.000 0.000 0.000
2 Nd 0.500 0.500 0.000
3 Pt 0.000 0.500 0.500
4 Pt 0.500 0.000 0.500

## Properties
Formation energy   -0.607 eV/atom
Raw total energy   -5.149 eV/atom


Record 13
## YMnRe2Pt (PBE)

Data for YMnRe2Pt after structural relaxation.

Unit cell a=4.780 b=4.780 c=5.118 alpha=90.00 beta=90.00 gamma=90.00
Positions (direct):
1 Y 0.000 0.000 0.000
2 Mn 0.500 0.500 0.000
3 Re 0.000 0.500 0.500
4 Re 0.500 0.000 0.500
5 Pt 0.000 0.000 0.500

## Properties
Formation energy   1.944 eV/atom
Raw total energy   -7.370 eV/atom


Record 14
## La7Pm2Th2 (PBE)

Data for La7Pm2Th2 after structural relaxation.

Unit cell a=8.152 b=8.152 c=6.292 alpha=104.74 beta=104.74 gamma=91.80
Positions (direct):
1 La 0.000 0.000 0.000
2 La 0.071 0.580 0.835
3 La 0.242 0.242 0.585
4 La 0.420 0.929 0.165
5 La 0.580 0.071 0.835
6 La 0.758 0.758 0.415
7 La 0.929 0.420 0.165
8 Pm 0.223 0.777 0.500
9 Pm 0.777 0.223 0.500
10 Th 0.417 0.417 0.197
11 Th 0.583 0.583 0.803

## Properties
Formation energy   0.155 eV/atom
E above lowest polymorph   0.8 kJ/mol of atoms
Raw total energy   -5.194 eV/atom


Record 15
## Li3Ho2PaTe6 (PBE)

Data for Li3Ho2PaTe6 after structural relaxation.

Unit cell a=7.446 b=7.446 c=7.539 alpha=99.47 beta=99.47 gamma=120.00
Positions (direct):
1 Li 0.000 0.000 0.000
2 Li 0.333 0.667 0.000
3 Li 0.667 0.333 0.000
4 Ho 0.167 0.833 0.500
5 Ho 0.833 0.167 0.500
6 Pa 0.500 0.500 0.500
7 Te 0.078 0.414 0.242
8 Te 0.251 0.251 0.759
9 Te 0.414 0.078 0.242
10 Te 0.586 0.922 0.758
11 Te 0.749 0.749 0.241
12 Te 0.922 0.586 0.758

## Properties
Raw formation energy   -1.12 eV per atom
Raw total energy   -4.720 eV/atom


Record 16
## Pr3Hf5H12 (PBE)

Data for Pr3Hf5H12 after structural relaxation.

Unit cell a=10.879 b=10.879 c=10.879 alpha=109.47 beta=109.47 gamma=109.47
Positions (direct):
1 Pr 0.125 0.250 0.375
2 Pr 0.125 0.375 0.750
3 Pr 0.250 0.375 0.125
4 Pr 0.250 0.875 0.625
5 Pr 0.375 0.125 0.250
6 Pr 0.375 0.750 0.125
7 Pr 0.625 0.250 0.875
8 Pr 0.625 0.875 0.750
9 Pr 0.750 0.125 0.375
10 Pr 0.750 0.625 0.875
11 Pr 0.875 0.625 0.250
12 Pr 0.875 0.750 0.625
13 Hf 0.000 0.000 0.000
14 Hf 0.000 0.000 0.500
15 Hf 0.000 0.500 0.000
16 Hf 0.000 0.500 0.500
17 Hf 0.125 0.750 0.875
18 Hf 0.125 0.875 0.250
19 Hf 0.250 0.125 0.875
20 Hf 0.250 0.625 0.375
21 Hf 0.375 0.250 0.625
22 Hf 0.375 0.625 0.750
23 Hf 0.500 0.000 0.000
24 Hf 0.500 0.000 0.500
25 Hf 0.500 0.500 0.000
26 Hf 0.500 0.500 0.500
27 Hf 0.625 0.375 0.250
28 Hf 0.625 0.750 0.375
29 Hf 0.750 0.375 0.625
30 Hf 0.750 0.875 0.125
31 Hf 0.875 0.125 0.750
32 Hf 0.875 0.250 0.125
33 H 0.045 0.210 0.132
34 H 0.045 0.335 0.913
35 H 0.078 0.710 0.665
36 H 0.078 0.868 0.413
37 H 0.087 0.632 0.422
38 H 0.087 0.955 0.665
39 H 0.132 0.045 0.210
40 H 0.132 0.587 0.922
41 H 0.165 0.210 0.578
42 H 0.165 0.455 0.587
43 H 0.210 0.132 0.045
44 H 0.210 0.578 0.165
45 H 0.290 0.335 0.922
46 H 0.290 0.455 0.368
47 H 0.335 0.913 0.045
48 H 0.335 0.922 0.290
49 H 0.368 0.290 0.455
50 H 0.368 0.578 0.913
51 H 0.413 0.078 0.868
52 H 0.413 0.835 0.545
53 H 0.422 0.087 0.632
54 H 0.422 0.835 0.790
55 H 0.455 0.368 0.290
56 H 0.455 0.587 0.165
57 H 0.545 0.413 0.835
58 H 0.545 0.632 0.710
59 H 0.578 0.165 0.210
60 H 0.578 0.913 0.368
61 H 0.587 0.165 0.455
62 H 0.587 0.922 0.132
63 H 0.632 0.422 0.087
64 H 0.632 0.710 0.545
65 H 0.665 0.078 0.710
66 H 0.665 0.087 0.955
67 H 0.710 0.545 0.632
68 H 0.710 0.665 0.078
69 H 0.790 0.422 0.835
70 H 0.790 0.868 0.955
71 H 0.835 0.545 0.413
72 H 0.835 0.790 0.422
73 H 0.868 0.413 0.078
74 H 0.868 0.955 0.790
75 H 0.913 0.045 0.335
76 H 0.913 0.368 0.578
77 H 0.922 0.132 0.587
78 H 0.922 0.290 0.335
79 H 0.955 0.665 0.087
80 H 0.955 0.790 0.868

## Properties
Raw total energy   -5.559 eV/atom


Record 17
## ReAu (PBE)

Data for ReAu after structural relaxation.

Unit cell a=6.451 b=6.451 c=3.938 alpha=90.00 beta=90.00 gamma=155.08
Positions (direct):
1 Re 0.206 0.794 0.750
2 Re 0.794 0.206 0.250
3 Au 0.424 0.576 0.750
4 Au 0.576 0.424 0.250

## Properties
Formation energy   0.464 eV/atom
E above lowest polymorph   30.9 kJ/mol of atoms
Raw total energy   -7.398 eV/atom


Record 18
## V2BH (PBE)

Data for V2BH after structural relaxation.

Unit cell a=3.687 b=3.687 c=3.687 alpha=60.00 beta=60.00 gamma=60.00
Positions (direct):
1 V 0.250 0.250 0.250
2 V 0.750 0.750 0.750
3 B 0.000 0.000 0.000
4 H 0.500 0.500 0.500

## Properties
E above lowest polymorph   34.6 kJ/mol of atoms
Raw total energy   -7.047 eV/atom


Record 19
## Pt2Rh (PBE)

Data for Pt2Rh after structural relaxation.

Unit cell a=2.781 b=2.781 c=6.796 alpha=90.00 beta=90.00 gamma=120.00
Positions (direct):
1 Pt 0.333 0.667 0.172
2 Pt 0.667 0.333 0.828
3 Rh 0.000 0.000 0.500

## Properties
Formation energy   -0.018 eV/atom
Raw total energy   -6.495 eV/atom


Record 20
## Li2NiSe (PBE)

Data for Li2NiSe after structural relaxation.

Unit cell a=4.621 b=4.621 c=4.621 alpha=131.98 beta=131.98 gamma=70.26
Positions (direct):
1 Li 0.250 0.750 0.500
2 Li 0.750 0.250 0.500
3 Ni 0.000 0.000 0.000
4 Se 0.500 0.500 0.000

## Properties
Raw formation energy   -0.41 eV per atom
Raw total energy   -3.685 eV/atom


Number 1: calculated volume 19.8 A^3/atom, total magnetization 0.000 μB per atom, N(E_F) 0.238 states/eV/atom. Number 2: calculated volume 24.6 A^3/atom, total magnetization 0.000 μB per atom, N(E_F) 0.989 states/eV/atom. Number 3: calculated volume 19.2 A^3/atom, total magnetization 0.545 μB per atom, N(E_F) 1.409 states/eV/atom. Number 4: calculated volume 14.4 A^3/atom, total magnetization 0.000 μB per atom, N(E_F) 0.167 states/eV/atom. Number 5: calculated volume 15.3 A^3/atom, total magnetization 0.268 μB per atom, N(E_F) 0.652 states/eV/atom. Number 6: calculated volume 20.6 A^3/atom, total magnetization 0.000 μB per atom, N(E_F) 0.470 states/eV/atom. Number 7: calculated volume 35.1 A^3/atom, total magnetization 0.000 μB per atom, N(E_F) 0.633 states/eV/atom. Number 8: calculated volume 33.7 A^3/atom, total magnetization 0.000 μB per atom, N(E_F) 1.713 states/eV/atom. Number 9: calculated volume 18.1 A^3/atom, total magnetization 0.137 μB per atom, N(E_F) 0.833 states/eV/atom. Number 10: calculated volume 29.0 A^3/atom, total magnetization 0.000 μB per atom, N(E_F) 0.768 states/eV/atom. Number 11: calculated volume 25.0 A^3/atom, total magnetization 0.000 μB per atom, N(E_F) 0.759 states/eV/atom. Number 12: calculated volume 20.4 A^3/atom, total magnetization 0.000 μB per atom, N(E_F) 0.376 states/eV/atom. Number 13: calculated volume 23.4 A^3/atom, total magnetization 0.104 μB per atom, N(E_F) 1.768 states/eV/atom. Number 14: calculated volume 35.4 A^3/atom, total magnetization 0.000 μB per atom, N(E_F) 1.708 states/eV/atom. Number 15: calculated volume 28.5 A^3/atom, total magnetization 0.141 μB per atom, N(E_F) 0.740 states/eV/atom. Number 16: calculated volume 12.4 A^3/atom, total magnetization 0.000 μB per atom, N(E_F) 0.571 states/eV/atom. Number 17: calculated volume 17.3 A^3/atom, total magnetization 0.000 μB per atom, N(E_F) 0.965 states/eV/atom. Number 18: calculated volume 8.9 A^3/atom, total magnetization 0.000 μB per atom, N(E_F) 0.889 states/eV/atom. Number 19: calculated volume 15.2 A^3/atom, total magnetization 0.000 μB per atom, N(E_F) 1.727 states/eV/atom. Number 20: calculated volume 13.4 A^3/atom, total magnetization 0.000 μB per atom, N(E_F) 0.330 states/eV/atom.